Compound: LaAlH2
Source: Alexandria
Functional: PBE-GGA
Structure: optimized geometry

Properties
Electronic total energy   -3.9664 eV per atom
Crystal system   tetragonal
Symmetry   I-42d
Magnetization   0.0 μB per formula unit
Density   4.60 g/cm³

abc: 4.7034 4.7034 10.9500
angles: 90.00 90.00 90.00
Closest atoms and distances in Å follow each position.
Positions (direct):
1 La 0.0000 0.0000 0.0000  4 H 2.38
2 La 0.0000 0.5000 0.2500  4 H 2.38
3 La 0.5000 0.0000 0.7500  4 H 2.38
4 La 0.5000 0.5000 0.5000  4 H 2.38
5 Al 0.0000 0.0000 0.5000  4 H 1.98
6 Al 0.0000 0.5000 0.7500  4 H 1.98
7 Al 0.5000 0.0000 0.2500  4 H 1.98
8 Al 0.5000 0.5000 0.0000  4 H 1.98
9 H 0.1709 0.2500 0.6250  2 Al 1.98
10 H 0.2500 0.6709 0.8750  2 Al 1.98
11 H 0.2500 0.8291 0.3750  2 Al 1.98
12 H 0.3291 0.2500 0.1250  2 Al 1.98
13 H 0.6709 0.7500 0.1250  2 Al 1.98
14 H 0.7500 0.1709 0.3750  2 Al 1.98
15 H 0.7500 0.3291 0.8750  2 Al 1.98
16 H 0.8291 0.7500 0.6250  2 Al 1.98